(1)
Compound: La4InPI2
Source: Alexandria
Functional: PBE
Structure: optimized geometry

Calculated values
As for the energy: -0.363 Ry per atom. As for the uncorrected formation energy: -1.063 eV/atom. The symmetry is P2/m (10). The calculation puts the total magnetic moment at 0.0 μB/f.u.

Cell and atoms, written as POSCAR:
```
La4InPI2
1.0
-3.9325 1.3209 -1.1302
-3.1000 -6.6571 3.0059
0.1211 5.5814 6.1018
La I In P
4 2 1 1
direct
0.0000 0.7132 0.2010
0.0000 0.2868 0.7990
0.5000 0.2662 0.2179
0.5000 0.7338 0.7821
0.0000 0.5000 0.5000
0.5000 0.0000 0.5000
0.0000 0.0000 0.0000
0.5000 0.5000 0.0000
```



(2)
Compound: TiNiBi2
Source: Alexandria
Functional: PBE
Structure: optimized geometry

Calculated values
As for the energy: -0.371 Ry per atom. The symmetry is I-42d (122). For the formation energy, the calculation gives 306 meV per atom. The calculation puts the total magnetic moment at 0.0 μB/f.u.

Cell and atoms, written as POSCAR:
```
TiNiBi2
1.0
7.4676 0.0000 0.0000
0.0000 7.4676 0.0000
3.7338 3.7338 3.2282
Bi Ni Ti
4 2 2
direct
0.0870 0.6250 0.2500
0.8750 0.9130 0.7500
0.6630 0.1250 0.2500
0.3750 0.3370 0.7500
0.7500 0.2500 0.5000
0.0000 0.0000 0.0000
0.5000 0.5000 0.0000
0.2500 0.7500 0.5000
```



(3)
Compound: Pd2Pt3Rh7
Source: Alexandria
Functional: PBE
Structure: optimized geometry

Calculated values
As for the energy: -0.481 Ry per atom. The symmetry is P2/m (10). For the formation energy, the calculation gives 114 meV per atom. The calculation puts the total magnetic moment at 0.0 μB/f.u.

Cell and atoms, written as POSCAR:
```
Pd2Pt3Rh7
1.0
-1.0037 -2.0334 1.5000
-1.9327 -2.0218 -4.0338
12.5525 -5.7291 0.6328
Pd Rh Pt
2 7 3
direct
0.5000 0.6354 0.6740
0.5000 0.3646 0.3260
0.5000 0.0667 0.8351
0.0000 0.4349 0.1619
0.5000 0.2521 0.5063
0.5000 0.7479 0.4937
0.0000 0.0000 0.0000
0.0000 0.5651 0.8381
0.5000 0.9333 0.1649
0.0000 0.1258 0.6642
0.0000 0.8742 0.3358
0.5000 0.5000 0.0000
```



(4)
Compound: CsTcNiCl6
Source: Alexandria
Functional: PBE
Structure: optimized geometry

Calculated values
As for the energy: -0.297 Ry per atom. As for the uncorrected formation energy: -0.918 eV/atom. The symmetry is P312 (149). The calculation puts the total magnetic moment at 4.0 μB/f.u.

Cell and atoms, written as POSCAR:
```
CsTcNiCl6
1.0
6.3674 0.0001 -0.0002
3.1838 5.5143 -0.0001
0.0001 -0.0003 7.8127
Cl Cs Ni Tc
6 1 1 1
direct
0.3733 0.6223 0.3256
0.6222 0.3733 0.6743
0.0044 0.6223 0.6743
0.0044 0.3733 0.3256
0.3733 0.0044 0.6744
0.6222 0.0044 0.3256
0.0000 0.0000 0.0000
0.6666 0.6667 0.5000
0.3333 0.3333 0.5000
```



(5)
Compound: Cu2IrSe
Source: Alexandria
Functional: PBE
Structure: optimized geometry

Calculated values
As for the energy: -0.351 Ry per atom. As for the uncorrected formation energy: 0.352 eV/atom. The symmetry is F-43m (216). The calculation puts the total magnetic moment at 0.0 μB/f.u.

Cell and atoms, written as POSCAR:
```
Cu2IrSe
1.0
-0.5960 4.1976 0.8609
-3.2327 2.1597 -1.8979
-3.4176 1.2661 2.3310
Se Ir Cu
1 1 2
direct
0.7500 0.7500 0.7500
0.5000 0.5000 0.5000
0.0000 0.0000 0.0000
0.2500 0.2500 0.2500
```



(6)
Compound: RbAsSCl2
Source: Alexandria
Functional: PBE
Structure: optimized geometry

Calculated values
As for the energy: -0.257 Ry per atom. The excess energy over the best structure of this formula in the dataset comes out at 0 meV per atom. As for the uncorrected formation energy: -0.808 eV/atom. The symmetry is P4/mmm (123). The calculation puts the total magnetic moment at 0.0 μB/f.u.

Cell and atoms, written as POSCAR:
```
RbAsSCl2
1.0
5.3293 0.0000 0.0000
0.0000 5.3293 0.0000
0.0000 0.0000 4.7431
Cl Rb S As
2 1 1 1
direct
0.5000 0.0000 0.0000
0.0000 0.5000 0.0000
0.5000 0.5000 0.5000
0.0000 0.0000 0.5000
0.0000 0.0000 0.0000
```



(7)
Compound: RbHf3N
Source: Alexandria
Functional: PBE
Structure: optimized geometry

Calculated values
As for the energy: -0.325 Ry per atom. As for the uncorrected formation energy: 3.413 eV/atom. The symmetry is Pm-3m (221). The calculation puts the total magnetic moment at 0.0 μB/f.u.

Cell and atoms, written as POSCAR:
```
RbHf3N
1.0
4.9842 0.0000 0.0000
0.0000 4.9842 0.0000
0.0000 0.0000 4.9842
Hf Rb N
3 1 1
direct
0.0000 0.0000 0.5000
0.0000 0.5000 0.0000
0.5000 0.0000 0.0000
0.0000 0.0000 0.0000
0.5000 0.5000 0.5000
```



(8)
Compound: Dy5HoSc2
Source: Alexandria
Functional: PBE
Structure: optimized geometry

Calculated values
As for the energy: -0.368 Ry per atom. The excess energy over the best structure of this formula in the dataset comes out at 0 meV per atom. The symmetry is Fmm2 (42). For the formation energy, the calculation gives 27 meV per atom. The calculation puts the total magnetic moment at 0.0 μB/f.u.

Cell and atoms, written as POSCAR:
```
Dy5HoSc2
1.0
0.5043 6.9630 1.1703
-2.5656 -2.3648 -6.1600
-4.0604 -2.2864 4.6092
Dy Sc Ho
5 2 1
direct
0.3215 0.2345 0.0000
0.3177 0.7382 0.9999
0.8176 0.2379 0.9999
0.7375 0.8185 0.5002
0.2373 0.3184 0.5000
0.2350 0.8203 0.4996
0.7354 0.3207 0.5003
0.8211 0.7345 0.0000
```